No. 1
# HfMnB2Pb

A relaxed structure of HfMnB2Pb (GGA-PBE, Alexandria).

The space group is P4/mmm (No. 123) and the conventional cell measures 3.9806, 3.9806 and 5.0479 Å, with angles of 90.00, 90.00 and 90.00 degrees. The distinct sites, in fractional coordinates, are Hf at (0.0000, 0.0000, 0.0000), Mn at (0.5000, 0.5000, 0.5000), B at (0.0000, 0.5000, 0.5000) and Pb at (0.5000, 0.5000, 0.0000).

As for the crystal system: tetragonal. As for the density of states at the Fermi level: 2.436 states/eV/cell. The calculation puts the electronic total energy at -6.28 eV/atom. Its formation energy is 4.80 eV/f.u.

No. 2
# CaAlCd

A relaxed structure of CaAlCd (GGA-PBE, Alexandria).

The space group is P-6m2 (No. 187) and the conventional cell measures 4.8321, 4.8321 and 3.6060 Å, with angles of 90.00, 90.00 and 120.00 degrees. The distinct sites, in fractional coordinates, are Ca at (0.0000, 0.0000, 0.0000), Al at (0.3333, 0.6667, 0.5000) and Cd at (0.6667, 0.3333, 0.5000).

As for the crystal system: hexagonal. As for the density of states at the Fermi level: 1.305 states/eV/cell. The calculation puts the electronic total energy at -2.50 eV/atom. Its formation energy is -0.84 eV/f.u.

No. 3
# CaTbPu2As4

A relaxed structure of CaTbPu2As4 (GGA-PBE, Alexandria).

The space group is P2/m (No. 10) and the conventional cell measures 7.1551, 4.1663 and 7.2278 Å, with angles of 90.00, 109.58 and 90.00 degrees. The distinct sites, in fractional coordinates, are Ca at (0.0000, 0.0000, 0.0000), Tb at (0.0000, 0.5000, 0.5000), Pu at (0.5000, 0.0000, 0.5000), Pu at (0.5000, 0.5000, 0.0000), As at (0.2583, 0.0000, 0.7486) and As at (0.2644, 0.5000, 0.2594).

As for the crystal system: monoclinic. As for the density of states at the Fermi level: 23.931 states/eV/cell. The calculation puts the electronic total energy at -7.89 eV/atom. Its formation energy is -9.24 eV/f.u.

No. 4
# Na2VBr5

A relaxed structure of Na2VBr5 (GGA-PBE, Alexandria).

The space group is Cm (No. 8) and the conventional cell measures 12.8639, 7.9151 and 7.8298 Å, with angles of 90.00, 117.19 and 90.00 degrees. The distinct sites, in fractional coordinates, are Na at (0.0000, 0.0000, 0.0000), Na at (0.0259, 0.5000, 0.4873), V at (0.1077, 0.5000, 0.0422), Br at (0.0268, 0.2787, 0.7798), Br at (0.1002, 0.2793, 0.2705) and Br at (0.3108, 0.5000, 0.1310).

As for the crystal system: monoclinic. As for the density of states at the Fermi level: 11.883 states/eV/cell. The uncorrected formation energy comes out at -1.11 eV/atom. The calculation puts the electronic total energy at -3.63 eV/atom.

No. 5
# ErInTe

A relaxed structure of ErInTe (GGA-PBE, Alexandria).

The space group is P4_2/m (No. 84) and the conventional cell measures 9.5919, 9.5919 and 4.1497 Å, with angles of 90.00, 90.00 and 90.00 degrees. The distinct sites, in fractional coordinates, are Er at (0.0466, 0.2086, 0.0000), In at (0.1195, 0.5974, 0.5000) and Te at (0.2655, 0.3198, 0.5000).

As for the crystal system: tetragonal. As for the density of states at the Fermi level: 5.996 states/eV/cell. The uncorrected formation energy comes out at -0.44 eV/atom. The calculation puts the electronic total energy at -3.92 eV/atom.

No. 6
# Hf2NbTc

A relaxed structure of Hf2NbTc (GGA-PBE, Alexandria).

The space group is P4/mmm (No. 123) and the conventional cell measures 3.2579, 3.2579 and 7.0934 Å, with angles of 90.00, 90.00 and 90.00 degrees. The distinct sites, in fractional coordinates, are Hf at (0.0000, 0.0000, 0.2238), Nb at (0.5000, 0.5000, 0.5000) and Tc at (0.5000, 0.5000, 0.0000).

As for the crystal system: tetragonal. As for the density of states at the Fermi level: 4.669 states/eV/cell. The calculation puts the electronic total energy at -10.30 eV/atom. Its formation energy is -0.86 eV/f.u.

No. 7
# Ac2ReB10

A relaxed structure of Ac2ReB10 (GGA-PBE, Alexandria).

The space group is Pbam (No. 55) and the conventional cell measures 5.9110, 11.7847 and 4.3198 Å, with angles of 90.00, 90.00 and 90.00 degrees. The distinct sites, in fractional coordinates, are Ac at (0.2153, 0.1349, 0.0000), Re at (0.0000, 0.5000, 0.5000), B at (0.0624, 0.3080, 0.5000), B at (0.1208, 0.9570, 0.5000), B at (0.1333, 0.8034, 0.5000) and B at (0.2222, 0.3824, 0.2043).

As for the crystal system: orthorhombic. As for the density of states at the Fermi level: 5.897 states/eV/cell. The calculation puts the electronic total energy at -7.13 eV/atom. Its formation energy is -5.26 eV/f.u.

No. 8
# ZnCd

A relaxed structure of ZnCd (GGA-PBE, Alexandria).

The space group is I4/m (No. 87) and the conventional cell measures 10.1285, 10.1285 and 3.1643 Å, with angles of 90.00, 90.00 and 90.00 degrees. The distinct sites, in fractional coordinates, are Zn at (0.0792, 0.6284, 0.0000) and Cd at (0.1153, 0.1752, 0.0000).

As for the crystal system: tetragonal. As for the density of states at the Fermi level: 4.304 states/eV/cell. The calculation puts the electronic total energy at -1.03 eV/atom. Its formation energy is 0.14 eV/f.u.

No. 9
# Li2Zn2Ge

A relaxed structure of Li2Zn2Ge (GGA-PBE, Alexandria).

The space group is C2/m (No. 12) and the conventional cell measures 8.4382, 4.0013 and 8.9656 Å, with angles of 90.00, 92.24 and 90.00 degrees. The distinct sites, in fractional coordinates, are Li at (0.0622, 0.0000, 0.1479), Li at (0.1543, 0.0000, 0.4488), Zn at (0.0360, 0.5000, 0.6448), Zn at (0.1416, 0.5000, 0.9546) and Ge at (0.2293, 0.0000, 0.7520).

As for the crystal system: monoclinic. As for the density of states at the Fermi level: 4.430 states/eV/cell. The calculation puts the electronic total energy at -2.39 eV/atom. Its formation energy is -0.94 eV/f.u.

No. 10
# Np2GaRh9

A relaxed structure of Np2GaRh9 (GGA-PBE, Alexandria).

The space group is P4/mmm (No. 123) and the conventional cell measures 3.9827, 3.9827 and 11.8025 Å, with angles of 90.00, 90.00 and 90.00 degrees. The distinct sites, in fractional coordinates, are Np at (0.0000, 0.0000, 0.1727), Ga at (0.0000, 0.0000, 0.5000), Rh at (0.0000, 0.5000, 0.0000), Rh at (0.0000, 0.5000, 0.3415), Rh at (0.5000, 0.5000, 0.1711) and Rh at (0.5000, 0.5000, 0.5000).

As for the crystal system: tetragonal. As for the density of states at the Fermi level: 21.543 states/eV/cell. The calculation puts the electronic total energy at -8.29 eV/atom. Its formation energy is -4.45 eV/f.u.

What did the second record say?
# CaAlCd

A relaxed structure of CaAlCd (GGA-PBE, Alexandria).

The space group is P-6m2 (No. 187) and the conventional cell measures 4.8321, 4.8321 and 3.6060 Å, with angles of 90.00, 90.00 and 120.00 degrees. The distinct sites, in fractional coordinates, are Ca at (0.0000, 0.0000, 0.0000), Al at (0.3333, 0.6667, 0.5000) and Cd at (0.6667, 0.3333, 0.5000).

As for the crystal system: hexagonal. As for the density of states at the Fermi level: 1.305 states/eV/cell. The calculation puts the electronic total energy at -2.50 eV/atom. Its formation energy is -0.84 eV/f.u.